Record 1
{
  "formula": "InCuO3",
  "functional": "PBEsol",
  "state": "optimized geometry",
  "cell": [[3.730, 0.000, 0.000], [0.000, 3.730, 0.000], [0.000, 0.000, 3.730]],
  "species": ["In", "Cu", "O", "O", "O"],
  "fractional_positions": [[0.000, 0.000, 0.000], [0.500, 0.500, 0.500], [0.000, 0.500, 0.500], [0.500, 0.000, 0.500], [0.500, 0.500, 0.000]],
  "dft_energy_ry_per_atom": -0.37878
}

=====

Record 2
{
  "formula": "CaNdAg2",
  "functional": "PBEsol",
  "state": "optimized geometry",
  "cell": [[0.000, 3.645, 3.645], [3.645, 0.000, 3.645], [3.645, 3.645, 0.000]],
  "species": ["Ca", "Nd", "Ag", "Ag"],
  "fractional_positions": [[0.000, 0.000, 0.000], [0.500, 0.500, 0.500], [0.250, 0.250, 0.250], [0.750, 0.750, 0.750]],
  "formation_energy_ev_per_atom": -0.28
}

=====

Record 3
{
  "formula": "ReSbAu2",
  "functional": "PBEsol",
  "state": "optimized geometry",
  "cell": [[-2.107, 2.107, 3.911], [2.107, -2.107, 3.911], [2.107, 2.107, -3.911]],
  "species": ["Re", "Sb", "Au", "Au"],
  "fractional_positions": [[0.000, 0.000, 0.000], [0.250, 0.750, 0.500], [0.500, 0.500, 0.000], [0.750, 0.250, 0.500]],
  "dft_energy_ry_per_atom": -0.43237
}

=====

The following mass density values (in Mg/m³) correspond, in order, to the records above: 7.2 6.9 16.8.